Entry 1:
Rb3SmCl6, relaxed, DFT PBEsol; space-group type = No. 225; DOS(E_F) = 0.00 states/eV per atom; spin magnetization = 0.001 μB/cell; energy relative to the elements, uncorrected = -2037 meV/atom; V = 371 Å³/cell
1.0
8.0659 0.0000 0.0000
4.0330 6.9853 0.0000
4.0330 2.3284 6.5858
Cl Rb Sm
6 3 1
direct
0.2331 0.7669 0.2331 Cl
0.7669 0.2331 0.2331 Cl
0.7669 0.7669 0.2331 Cl
0.2331 0.2331 0.7669 Cl
0.2331 0.7669 0.7669 Cl
0.7669 0.2331 0.7669 Cl
0.7500 0.7500 0.7500 Rb
0.2500 0.2500 0.2500 Rb
0.5000 0.5000 0.5000 Rb
0.0000 0.0000 0.0000 Sm



Entry 2:
MgCu2Tc, relaxed, DFT PBEsol; space-group type = No. 123; DOS(E_F) = 0.71 states/eV per atom; spin magnetization = 0.000 μB/cell; formation energy from the elements = 0.210 eV/atom; V = 53 Å³/cell
1.0
-1.4786 1.2203 -1.8681
-2.5385 -3.6482 -0.3738
-2.7165 1.5651 3.1725
Cu Tc Mg
2 1 1
direct
0.0000 0.0000 0.5000 Cu
0.0000 0.5000 0.0000 Cu
0.5000 0.0000 0.0000 Tc
0.5000 0.5000 0.5000 Mg